Record 1
{
  "formula": "ZnCd4Ag7",
  "functional": "GGA-PBE",
  "state": "relaxed",
  "formation_enthalpy_0k_mev_per_atom": 141.0,
  "energy_ev_per_atom": -1.933,
  "lattice_angstrom": [[6.447, -2.497, 0.000], [6.447, 2.497, 0.000], [-6.145, 0.000, 7.971]],
  "species": ["Zn", "Cd", "Cd", "Cd", "Cd", "Ag", "Ag", "Ag", "Ag", "Ag", "Ag", "Ag"],
  "fractional_positions": [[0.000, 0.000, 0.000], [0.282, 0.282, 0.657], [0.423, 0.423, 0.216], [0.577, 0.577, 0.784], [0.718, 0.718, 0.343], [0.073, 0.073, 0.310], [0.211, 0.211, 0.873], [0.359, 0.359, 0.436], [0.500, 0.500, 0.000], [0.641, 0.641, 0.564], [0.789, 0.789, 0.127], [0.927, 0.927, 0.690]]
}

***

Record 2
{
  "formula": "Zn6Cd2Ag3",
  "functional": "GGA-PBE",
  "state": "relaxed",
  "formation_enthalpy_0k_mev_per_atom": 83.5,
  "energy_ev_per_atom": -1.555,
  "lattice_angstrom": [[7.448, 0.000, 0.000], [-3.724, 6.450, 0.000], [0.000, 0.000, 4.227]],
  "species": ["Zn", "Zn", "Zn", "Zn", "Zn", "Zn", "Cd", "Cd", "Ag", "Ag", "Ag"],
  "fractional_positions": [[0.000, 0.223, 0.000], [0.000, 0.789, 0.500], [0.211, 0.211, 0.500], [0.223, 0.000, 0.000], [0.777, 0.777, 0.000], [0.789, 0.000, 0.500], [0.333, 0.667, 0.500], [0.667, 0.333, 0.500], [0.000, 0.571, 0.000], [0.429, 0.429, 0.000], [0.571, 0.000, 0.000]]
}

***

Record 3
{
  "formula": "Zn4CdAg8",
  "functional": "GGA-PBE",
  "state": "relaxed",
  "formation_enthalpy_0k_mev_per_atom": -20.8,
  "energy_ev_per_atom": -2.238,
  "lattice_angstrom": [[4.676, -2.074, 0.000], [4.676, 2.074, 0.000], [-1.731, 0.000, 11.491]],
  "species": ["Zn", "Zn", "Zn", "Zn", "Cd", "Ag", "Ag", "Ag", "Ag", "Ag", "Ag", "Ag", "Ag"],
  "fractional_positions": [[0.130, 0.130, 0.165], [0.356, 0.356, 0.461], [0.644, 0.644, 0.539], [0.870, 0.870, 0.835], [0.500, 0.500, 0.000], [0.057, 0.057, 0.392], [0.186, 0.186, 0.921], [0.256, 0.256, 0.682], [0.432, 0.432, 0.236], [0.568, 0.568, 0.764], [0.744, 0.744, 0.318], [0.814, 0.814, 0.079], [0.943, 0.943, 0.608]]
}

***

Record 4
{
  "formula": "ZrZnCdAg",
  "functional": "GGA-PBE",
  "state": "relaxed",
  "formation_enthalpy_0k_mev_per_atom": -134.3,
  "e_above_lowest_polymorph_ev_per_atom": 0.000,
  "energy_ev_per_atom": -3.531,
  "lattice_angstrom": [[3.109, 0.000, 0.000], [0.000, 3.109, 0.000], [0.000, 0.000, 7.860]],
  "species": ["Zr", "Zn", "Cd", "Ag"],
  "fractional_positions": [[0.000, 0.000, 0.000], [0.500, 0.500, 0.240], [0.500, 0.500, 0.711], [0.000, 0.000, 0.451]]
}

***

Record 5
{
  "formula": "ZrZnCdAg",
  "functional": "GGA-PBE",
  "state": "relaxed",
  "formation_enthalpy_0k_mev_per_atom": -113.9,
  "e_above_lowest_polymorph_ev_per_atom": 0.020,
  "energy_ev_per_atom": -3.511,
  "lattice_angstrom": [[0.000, 3.347, 3.347], [3.347, 0.000, 3.347], [3.347, 3.347, 0.000]],
  "species": ["Zr", "Zn", "Cd", "Ag"],
  "fractional_positions": [[0.000, 0.000, 0.000], [0.750, 0.750, 0.750], [0.500, 0.500, 0.500], [0.250, 0.250, 0.250]]
}

***

Record 6
{
  "formula": "ZrCd2Ag2",
  "functional": "GGA-PBE",
  "state": "relaxed",
  "formation_enthalpy_0k_mev_per_atom": 31.3,
  "e_above_lowest_polymorph_ev_per_atom": 0.070,
  "energy_ev_per_atom": -3.185,
  "lattice_angstrom": [[8.194, 0.000, 0.000], [0.000, 8.194, 0.000], [0.000, 0.000, 3.007]],
  "species": ["Zr", "Zr", "Cd", "Cd", "Cd", "Cd", "Ag", "Ag", "Ag", "Ag"],
  "fractional_positions": [[0.000, 0.000, 0.000], [0.500, 0.500, 0.000], [0.173, 0.327, 0.500], [0.327, 0.827, 0.500], [0.673, 0.173, 0.500], [0.827, 0.673, 0.500], [0.125, 0.625, 0.000], [0.375, 0.125, 0.000], [0.625, 0.875, 0.000], [0.875, 0.375, 0.000]]
}

***

Record 7
{
  "formula": "ZrCd6Ag5",
  "functional": "GGA-PBE",
  "state": "relaxed",
  "formation_enthalpy_0k_mev_per_atom": -29.5,
  "energy_ev_per_atom": -2.387,
  "lattice_angstrom": [[-2.267, 4.122, 6.393], [2.267, -4.122, 6.393], [2.267, 4.122, -6.393]],
  "species": ["Zr", "Cd", "Cd", "Cd", "Cd", "Cd", "Cd", "Ag", "Ag", "Ag", "Ag", "Ag"],
  "fractional_positions": [[0.000, 0.000, 0.000], [0.100, 0.834, 0.266], [0.267, 0.500, 0.767], [0.432, 0.166, 0.266], [0.568, 0.834, 0.734], [0.733, 0.500, 0.233], [0.900, 0.166, 0.734], [0.159, 0.659, 0.500], [0.315, 0.315, 0.000], [0.500, 0.000, 0.500], [0.685, 0.685, 0.000], [0.841, 0.341, 0.500]]
}

***

Record 8
{
  "formula": "Zr5Cd4Ag",
  "functional": "GGA-PBE",
  "state": "relaxed",
  "formation_enthalpy_0k_mev_per_atom": -82.1,
  "energy_ev_per_atom": -5.007,
  "lattice_angstrom": [[3.143, 0.000, 0.000], [0.000, 3.143, 0.000], [0.000, 0.000, 21.634]],
  "species": ["Zr", "Zr", "Zr", "Zr", "Zr", "Cd", "Cd", "Cd", "Cd", "Ag"],
  "fractional_positions": [[0.000, 0.000, 0.000], [0.000, 0.000, 0.202], [0.000, 0.000, 0.404], [0.000, 0.000, 0.596], [0.000, 0.000, 0.798], [0.500, 0.500, 0.101], [0.500, 0.500, 0.303], [0.500, 0.500, 0.697], [0.500, 0.500, 0.899], [0.500, 0.500, 0.500]]
}

***

Record 9
{
  "formula": "Zr2Cd2Ag3",
  "functional": "GGA-PBE",
  "state": "relaxed",
  "formation_enthalpy_0k_mev_per_atom": -38.8,
  "energy_ev_per_atom": -3.965,
  "lattice_angstrom": [[5.936, -1.592, 0.000], [5.936, 1.592, 0.000], [-1.978, 0.000, 7.544]],
  "species": ["Zr", "Zr", "Cd", "Cd", "Ag", "Ag", "Ag"],
  "fractional_positions": [[0.134, 0.134, 0.448], [0.866, 0.866, 0.552], [0.292, 0.292, 0.849], [0.708, 0.708, 0.151], [0.000, 0.000, 0.000], [0.422, 0.422, 0.255], [0.578, 0.578, 0.745]]
}

***

Record 10
{
  "formula": "ZrCd2Ag",
  "functional": "GGA-PBE",
  "state": "relaxed",
  "formation_enthalpy_0k_mev_per_atom": 44.4,
  "energy_ev_per_atom": -3.263,
  "lattice_angstrom": [[-1.498, 2.650, 5.315], [1.498, -2.650, 5.315], [1.498, 2.650, -5.315]],
  "species": ["Zr", "Cd", "Cd", "Ag"],
  "fractional_positions": [[0.000, 0.000, 0.000], [0.259, 0.759, 0.500], [0.511, 0.511, 0.000], [0.751, 0.251, 0.500]]
}

***

Record 11
{
  "formula": "Zr12Cd3Ag",
  "functional": "GGA-PBE",
  "state": "relaxed",
  "formation_enthalpy_0k_mev_per_atom": -50.0,
  "energy_ev_per_atom": -6.811,
  "lattice_angstrom": [[4.448, 0.000, 0.000], [0.000, 4.448, 0.000], [0.000, 0.000, 17.815]],
  "species": ["Zr", "Zr", "Zr", "Zr", "Zr", "Zr", "Zr", "Zr", "Zr", "Zr", "Zr", "Zr", "Cd", "Cd", "Cd", "Ag"],
  "fractional_positions": [[0.000, 0.000, 0.000], [0.000, 0.000, 0.248], [0.000, 0.000, 0.500], [0.000, 0.000, 0.752], [0.000, 0.500, 0.123], [0.000, 0.500, 0.374], [0.000, 0.500, 0.626], [0.000, 0.500, 0.877], [0.500, 0.000, 0.123], [0.500, 0.000, 0.374], [0.500, 0.000, 0.626], [0.500, 0.000, 0.877], [0.500, 0.500, 0.249], [0.500, 0.500, 0.500], [0.500, 0.500, 0.751], [0.500, 0.500, 0.000]]
}

***

Record 12
{
  "formula": "Zr2Cd8Ag",
  "functional": "GGA-PBE",
  "state": "relaxed",
  "formation_enthalpy_0k_mev_per_atom": -43.1,
  "energy_ev_per_atom": -2.522,
  "lattice_angstrom": [[8.161, -2.252, 0.000], [8.161, 2.252, 0.000], [-1.446, 0.000, 6.419]],
  "species": ["Zr", "Zr", "Cd", "Cd", "Cd", "Cd", "Cd", "Cd", "Cd", "Cd", "Ag"],
  "fractional_positions": [[0.223, 0.223, 0.145], [0.777, 0.777, 0.855], [0.037, 0.037, 0.227], [0.145, 0.145, 0.675], [0.332, 0.332, 0.602], [0.404, 0.404, 0.060], [0.596, 0.596, 0.940], [0.668, 0.668, 0.398], [0.855, 0.855, 0.325], [0.963, 0.963, 0.773], [0.500, 0.500, 0.500]]
}

***

Record 13
{
  "formula": "ZrCd5Ag2",
  "functional": "GGA-PBE",
  "state": "relaxed",
  "formation_enthalpy_0k_mev_per_atom": -55.9,
  "e_above_lowest_polymorph_ev_per_atom": 0.000,
  "energy_ev_per_atom": -2.409,
  "lattice_angstrom": [[-2.185, 2.185, 8.659], [2.185, -2.185, 8.659], [2.185, 2.185, -8.659]],
  "species": ["Zr", "Cd", "Cd", "Cd", "Cd", "Cd", "Ag", "Ag"],
  "fractional_positions": [[0.000, 0.000, 0.000], [0.131, 0.631, 0.500], [0.369, 0.869, 0.500], [0.500, 0.500, 0.000], [0.631, 0.131, 0.500], [0.869, 0.369, 0.500], [0.243, 0.243, 0.000], [0.757, 0.757, 0.000]]
}

***

Record 14
{
  "formula": "ZrCd3Ag",
  "functional": "GGA-PBE",
  "state": "relaxed",
  "formation_enthalpy_0k_mev_per_atom": 589.3,
  "e_above_lowest_polymorph_ev_per_atom": 0.626,
  "energy_ev_per_atom": -2.240,
  "lattice_angstrom": [[5.052, 0.000, 0.000], [0.000, 5.052, 0.000], [0.000, 0.000, 5.052]],
  "species": ["Zr", "Cd", "Cd", "Cd", "Ag"],
  "fractional_positions": [[0.000, 0.000, 0.000], [0.000, 0.500, 0.500], [0.500, 0.000, 0.500], [0.500, 0.500, 0.000], [0.500, 0.500, 0.500]]
}

***

Record 15
{
  "formula": "ZrCd2Ag",
  "functional": "GGA-PBE",
  "state": "relaxed",
  "formation_enthalpy_0k_mev_per_atom": -29.6,
  "energy_ev_per_atom": -3.337,
  "lattice_angstrom": [[1.529, 0.883, 10.247], [-1.529, 0.883, 10.247], [0.000, -1.766, 10.247]],
  "species": ["Zr", "Cd", "Cd", "Ag"],
  "fractional_positions": [[0.000, 0.000, 0.000], [0.246, 0.246, 0.246], [0.754, 0.754, 0.754], [0.500, 0.500, 0.500]]
}

***

Record 16
{
  "formula": "ZrCd6Ag",
  "functional": "GGA-PBE",
  "state": "relaxed",
  "formation_enthalpy_0k_mev_per_atom": -50.5,
  "energy_ev_per_atom": -2.162,
  "lattice_angstrom": [[4.601, 0.000, 0.000], [0.000, 4.601, 0.000], [0.000, 0.000, 7.963]],
  "species": ["Zr", "Cd", "Cd", "Cd", "Cd", "Cd", "Cd", "Ag"],
  "fractional_positions": [[0.000, 0.000, 0.000], [0.000, 0.500, 0.257], [0.000, 0.500, 0.743], [0.500, 0.000, 0.257], [0.500, 0.000, 0.743], [0.500, 0.500, 0.000], [0.500, 0.500, 0.500], [0.000, 0.000, 0.500]]
}

***

Record 17
{
  "formula": "Zr2Cd5Ag2",
  "functional": "GGA-PBE",
  "state": "relaxed",
  "formation_enthalpy_0k_mev_per_atom": 109.7,
  "energy_ev_per_atom": -2.932,
  "lattice_angstrom": [[0.000, 3.995, 8.442], [2.986, 0.000, 8.442], [2.986, 3.995, 0.000]],
  "species": ["Zr", "Zr", "Cd", "Cd", "Cd", "Cd", "Cd", "Ag", "Ag"],
  "fractional_positions": [[0.247, 0.247, 0.753], [0.753, 0.753, 0.247], [0.139, 0.139, 0.361], [0.361, 0.361, 0.139], [0.500, 0.500, 0.500], [0.639, 0.639, 0.861], [0.861, 0.861, 0.639], [0.163, 0.837, 0.163], [0.837, 0.163, 0.837]]
}

***

Record 18
{
  "formula": "Zr2Cd3Ag3",
  "functional": "GGA-PBE",
  "state": "relaxed",
  "formation_enthalpy_0k_mev_per_atom": -63.1,
  "e_above_lowest_polymorph_ev_per_atom": 0.000,
  "energy_ev_per_atom": -3.613,
  "lattice_angstrom": [[-2.136, 2.167, 8.706], [2.136, -2.167, 8.706], [2.136, 2.167, -8.706]],
  "species": ["Zr", "Zr", "Cd", "Cd", "Cd", "Ag", "Ag", "Ag"],
  "fractional_positions": [[0.248, 0.248, 0.000], [0.752, 0.752, 0.000], [0.121, 0.621, 0.500], [0.500, 0.500, 0.000], [0.879, 0.379, 0.500], [0.000, 0.000, 0.000], [0.378, 0.878, 0.500], [0.622, 0.122, 0.500]]
}

***

Record 19
{
  "formula": "ZrCd4Ag5",
  "functional": "GGA-PBE",
  "state": "relaxed",
  "formation_enthalpy_0k_mev_per_atom": -40.7,
  "energy_ev_per_atom": -2.687,
  "lattice_angstrom": [[3.276, 0.000, 0.000], [0.000, 3.276, 0.000], [0.000, 0.000, 18.272]],
  "species": ["Zr", "Cd", "Cd", "Cd", "Cd", "Ag", "Ag", "Ag", "Ag", "Ag"],
  "fractional_positions": [[0.000, 0.000, 0.000], [0.000, 0.000, 0.202], [0.000, 0.000, 0.401], [0.000, 0.000, 0.599], [0.000, 0.000, 0.798], [0.500, 0.500, 0.105], [0.500, 0.500, 0.302], [0.500, 0.500, 0.500], [0.500, 0.500, 0.698], [0.500, 0.500, 0.895]]
}

***

Record 20
{
  "formula": "ZrCd2Ag",
  "functional": "GGA-PBE",
  "state": "relaxed",
  "formation_enthalpy_0k_mev_per_atom": -22.2,
  "energy_ev_per_atom": -3.330,
  "lattice_angstrom": [[2.935, 0.000, 0.000], [0.000, 4.699, 0.000], [-1.315, 0.000, 6.011]],
  "species": ["Zr", "Cd", "Cd", "Ag"],
  "fractional_positions": [[0.000, 0.000, 0.000], [0.350, 0.500, 0.743], [0.650, 0.500, 0.257], [0.500, 0.000, 0.500]]
}